(1)
! GGA-PBE InSO4, optimized geometry; values from VASP
&SYSTEM
  ibrav = 0, nat = 12, ntyp = 3
/
ATOMIC_SPECIES
O 16.00 O.upf
In 114.82 In.upf
S 32.06 S.upf
ATOMIC_POSITIONS crystal
O 0.517 0.353 0.164
O 0.560 0.897 0.664
O 0.647 0.483 0.836
In 0.000 0.000 0.000
O 0.103 0.440 0.336
O 0.190 0.353 0.836
O 0.103 0.767 0.664
In 0.750 0.250 0.500
O 0.647 0.810 0.164
S 0.500 0.500 0.000
S 0.250 0.750 0.500
O 0.233 0.897 0.336
CELL_PARAMETERS angstrom
6.031 -0.145 0.000
-2.700 5.395 0.000
-1.666 -2.625 5.170
! - Total DFT energy (no corrections): -5.625 eV/atom
! - Spin magnetization: 0.0 μB/f.u.
! - Space group: No. 141



(2)
! GGA-PBE InSO, optimized geometry; values from VASP
&SYSTEM
  ibrav = 0, nat = 6, ntyp = 3
/
ATOMIC_SPECIES
In 114.82 In.upf
S 32.06 S.upf
O 16.00 O.upf
ATOMIC_POSITIONS crystal
In 0.073 0.224 0.678
S 0.477 0.116 0.400
O 0.529 0.446 0.346
In 0.313 0.588 0.087
O 0.807 0.831 0.998
S 0.731 0.748 0.757
CELL_PARAMETERS angstrom
-3.577 -0.430 1.664
1.632 -3.746 1.704
2.189 5.199 4.348
! - Total DFT energy (no corrections): -4.487 eV/atom
! - Spin magnetization: 0.0 μB/f.u.
! - Space group: No. 1



(3)
! GGA-PBE InS3O, optimized geometry; values from VASP
&SYSTEM
  ibrav = 0, nat = 5, ntyp = 3
/
ATOMIC_SPECIES
O 16.00 O.upf
S 32.06 S.upf
In 114.82 In.upf
ATOMIC_POSITIONS crystal
O 0.000 0.000 0.000
S 0.000 0.000 0.500
In 0.500 0.500 0.500
S 0.500 0.000 0.000
S 0.000 0.500 0.000
CELL_PARAMETERS angstrom
4.344 0.000 0.000
0.000 4.344 0.000
0.000 0.000 4.344
! - Total DFT energy (no corrections): -3.454 eV/atom
! - Spin magnetization: 0.0 μB/f.u.
! - Energy above the most stable polymorph in this dataset: 0.0000 eV/atom
! - Space group: No. 221



(4)
! GGA-PBE SmInSO2, optimized geometry; values from VASP
&SYSTEM
  ibrav = 0, nat = 10, ntyp = 4
/
ATOMIC_SPECIES
O 16.00 O.upf
In 114.82 In.upf
Sm 150.36 Sm.upf
S 32.06 S.upf
ATOMIC_POSITIONS crystal
O 0.250 0.453 0.600
In 0.750 0.332 0.539
Sm 0.250 0.685 0.950
S 0.250 0.008 0.785
Sm 0.750 0.315 0.050
O 0.750 0.494 0.863
O 0.750 0.547 0.400
S 0.750 0.992 0.215
O 0.250 0.506 0.137
In 0.250 0.668 0.461
CELL_PARAMETERS angstrom
4.139 0.000 0.000
0.000 6.849 -1.034
0.000 -2.729 7.153
! - Total DFT energy (no corrections): -6.417 eV/atom
! - Spin magnetization: 0.0 μB/f.u.
! - Space group: No. 11



(5)
! GGA-PBE SmInS2O, optimized geometry; values from VASP
&SYSTEM
  ibrav = 0, nat = 10, ntyp = 4
/
ATOMIC_SPECIES
In 114.82 In.upf
O 16.00 O.upf
S 32.06 S.upf
Sm 150.36 Sm.upf
ATOMIC_POSITIONS crystal
In 0.000 0.500 0.889
O 0.500 0.500 0.500
In 0.500 0.000 0.111
S 0.500 0.000 0.915
Sm 0.000 0.500 0.408
S 0.000 0.500 0.085
S 0.500 0.000 0.296
O 0.000 0.000 0.500
Sm 0.500 0.000 0.592
S 0.000 0.500 0.704
CELL_PARAMETERS angstrom
-3.884 -0.664 0.380
0.566 -3.818 -0.879
1.689 -2.653 12.612
! - Total DFT energy (no corrections): -5.929 eV/atom
! - Spin magnetization: 0.0 μB/f.u.
! - Space group: No. 129



(6)
! GGA-PBE SrInS2O8, optimized geometry; values from VASP
&SYSTEM
  ibrav = 0, nat = 12, ntyp = 4
/
ATOMIC_SPECIES
S 32.06 S.upf
O 16.00 O.upf
Sr 87.62 Sr.upf
In 114.82 In.upf
ATOMIC_POSITIONS crystal
S 0.245 0.245 0.266
O 0.178 0.178 0.467
O 0.301 0.970 0.202
Sr 0.500 0.500 0.500
O 0.822 0.822 0.533
S 0.755 0.755 0.734
O 0.527 0.301 0.202
O 0.473 0.699 0.798
O 0.699 0.030 0.798
O 0.030 0.473 0.798
In 0.000 0.000 0.000
O 0.970 0.527 0.202
CELL_PARAMETERS angstrom
-1.368 -2.137 -4.386
-0.230 -5.046 -0.397
-7.633 -2.239 0.545
! - Total DFT energy (no corrections): -6.049 eV/atom
! - Spin magnetization: 1.0 μB/f.u.
! - Space group: No. 148



Copy entry 5 word for word.
! GGA-PBE SmInS2O, optimized geometry; values from VASP
&SYSTEM
  ibrav = 0, nat = 10, ntyp = 4
/
ATOMIC_SPECIES
In 114.82 In.upf
O 16.00 O.upf
S 32.06 S.upf
Sm 150.36 Sm.upf
ATOMIC_POSITIONS crystal
In 0.000 0.500 0.889
O 0.500 0.500 0.500
In 0.500 0.000 0.111
S 0.500 0.000 0.915
Sm 0.000 0.500 0.408
S 0.000 0.500 0.085
S 0.500 0.000 0.296
O 0.000 0.000 0.500
Sm 0.500 0.000 0.592
S 0.000 0.500 0.704
CELL_PARAMETERS angstrom
-3.884 -0.664 0.380
0.566 -3.818 -0.879
1.689 -2.653 12.612
! - Total DFT energy (no corrections): -5.929 eV/atom
! - Spin magnetization: 0.0 μB/f.u.
! - Space group: No. 129



Among the records above, which one has the lowest total DFT energy (no corrections)?
SmInSO2



Among the records above, which one has the highest total DFT energy (no corrections)?
InS3O



What is the total DFT energy (no corrections) in the fifth record?
-5.929 eV/atom